Nd7Ga2Sn2: optimized geometry, PBE-GGA.

Structure (CIF):
```
data_Nd7Ga2Sn2
_symmetry_space_group_name_H-M 'P 1'
_symmetry_Int_Tables_number 1
_cell_length_a 6.892
_cell_length_b 6.892
_cell_length_c 7.921
_cell_angle_alpha 90.00
_cell_angle_beta 90.00
_cell_angle_gamma 109.90
loop_
_symmetry_equiv_pos_as_xyz
'x,y,z'
loop_
_atom_site_label
_atom_site_type_symbol
_atom_site_fract_x
_atom_site_fract_y
_atom_site_fract_z
Nd1 Nd 0.000 0.000 0.000
Nd2 Nd 0.000 0.500 0.297
Nd3 Nd 0.000 0.500 0.703
Nd4 Nd 0.500 0.000 0.297
Nd5 Nd 0.500 0.000 0.703
Nd6 Nd 0.500 0.500 0.279
Nd7 Nd 0.500 0.500 0.721
Ga1 Ga 0.163 0.163 0.500
Ga2 Ga 0.837 0.837 0.500
Sn1 Sn 0.296 0.704 0.000
Sn2 Sn 0.704 0.296 0.000
```

## Properties
DOS at the Fermi energy (states/eV per atom): 1.258
Formation energy from the elements (eV/atom): -0.251
Symmetry: Cmmm, No. 65

La2InAs4Pd3: optimized geometry, PBE-GGA.

Structure (CIF):
```
data_La2InAs4Pd3
_symmetry_space_group_name_H-M 'P 1'
_symmetry_Int_Tables_number 1
_cell_length_a 4.549
_cell_length_b 4.549
_cell_length_c 10.325
_cell_angle_alpha 90.00
_cell_angle_beta 90.00
_cell_angle_gamma 90.00
loop_
_symmetry_equiv_pos_as_xyz
'x,y,z'
loop_
_atom_site_label
_atom_site_type_symbol
_atom_site_fract_x
_atom_site_fract_y
_atom_site_fract_z
La1 La 0.000 0.500 0.229
La2 La 0.500 0.000 0.771
In1 In 0.000 0.000 0.500
As1 As 0.000 0.000 0.000
As2 As 0.000 0.500 0.647
As3 As 0.500 0.000 0.353
As4 As 0.500 0.500 0.000
Pd1 Pd 0.000 0.500 0.886
Pd2 Pd 0.500 0.000 0.114
Pd3 Pd 0.500 0.500 0.500
```

## Properties
DOS at the Fermi energy (states/eV per atom): 0.374
Formation energy from the elements (eV/atom): -0.797
Symmetry: P-4m2, No. 115

DyErTmZn: optimized geometry, PBE-GGA.

Structure (CIF):
```
data_DyErTmZn
_symmetry_space_group_name_H-M 'P 1'
_symmetry_Int_Tables_number 1
_cell_length_a 3.528
_cell_length_b 3.528
_cell_length_c 8.548
_cell_angle_alpha 90.00
_cell_angle_beta 90.00
_cell_angle_gamma 90.00
loop_
_symmetry_equiv_pos_as_xyz
'x,y,z'
loop_
_atom_site_label
_atom_site_type_symbol
_atom_site_fract_x
_atom_site_fract_y
_atom_site_fract_z
Dy1 Dy 0.000 0.000 0.000
Er1 Er 0.500 0.500 0.705
Tm1 Tm 0.500 0.500 0.294
Zn1 Zn 0.000 0.000 0.498
```

## Properties
DOS at the Fermi energy (states/eV per atom): 1.029
Formation energy from the elements (eV/atom): -0.165
Symmetry: P4mm, No. 99

Te3RhPb: optimized geometry, PBE-GGA.

Structure (CIF):
```
data_Te3RhPb
_symmetry_space_group_name_H-M 'P 1'
_symmetry_Int_Tables_number 1
_cell_length_a 5.798
_cell_length_b 5.798
_cell_length_c 5.798
_cell_angle_alpha 90.00
_cell_angle_beta 90.00
_cell_angle_gamma 90.00
loop_
_symmetry_equiv_pos_as_xyz
'x,y,z'
loop_
_atom_site_label
_atom_site_type_symbol
_atom_site_fract_x
_atom_site_fract_y
_atom_site_fract_z
Te1 Te 0.000 0.000 0.500
Te2 Te 0.000 0.500 0.000
Te3 Te 0.500 0.000 0.000
Rh1 Rh 0.500 0.500 0.500
Pb1 Pb 0.000 0.000 0.000
```

## Properties
DOS at the Fermi energy (states/eV per atom): 1.684
E_form (uncorrected) (eV/atom): 1.240
Symmetry: Pm-3m, No. 221

V6BC3: optimized geometry, PBE-GGA.

Structure (CIF):
```
data_V6BC3
_symmetry_space_group_name_H-M 'P 1'
_symmetry_Int_Tables_number 1
_cell_length_a 8.451
_cell_length_b 2.981
_cell_length_c 8.606
_cell_angle_alpha 90.00
_cell_angle_beta 110.39
_cell_angle_gamma 90.00
loop_
_symmetry_equiv_pos_as_xyz
'x,y,z'
loop_
_atom_site_label
_atom_site_type_symbol
_atom_site_fract_x
_atom_site_fract_y
_atom_site_fract_z
V1 V 0.026 0.250 0.387
V2 V 0.110 0.250 0.945
V3 V 0.230 0.750 0.267
V4 V 0.295 0.750 0.755
V5 V 0.389 0.250 0.542
V6 V 0.425 0.750 0.094
V7 V 0.575 0.250 0.906
V8 V 0.611 0.750 0.458
V9 V 0.705 0.250 0.245
V10 V 0.770 0.250 0.733
V11 V 0.890 0.750 0.055
V12 V 0.974 0.750 0.613
B1 B 0.445 0.250 0.296
B2 B 0.555 0.750 0.704
C1 C 0.057 0.250 0.158
C2 C 0.186 0.750 0.499
C3 C 0.341 0.250 0.920
C4 C 0.659 0.750 0.080
C5 C 0.814 0.250 0.501
C6 C 0.943 0.750 0.842
```

## Properties
DOS at the Fermi energy (states/eV per atom): 0.567
Formation energy from the elements (eV/atom): -0.516
Symmetry: P2_1/m, No. 11

Sm12Dy5Tm2: optimized geometry, PBE-GGA.

Structure (CIF):
```
data_Sm12Dy5Tm2
_symmetry_space_group_name_H-M 'P 1'
_symmetry_Int_Tables_number 1
_cell_length_a 9.277
_cell_length_b 9.277
_cell_length_c 7.989
_cell_angle_alpha 92.16
_cell_angle_beta 92.16
_cell_angle_gamma 67.86
loop_
_symmetry_equiv_pos_as_xyz
'x,y,z'
loop_
_atom_site_label
_atom_site_type_symbol
_atom_site_fract_x
_atom_site_fract_y
_atom_site_fract_z
Sm1 Sm 0.052 0.052 0.209
Sm2 Sm 0.081 0.541 0.706
Sm3 Sm 0.120 0.668 0.113
Sm4 Sm 0.332 0.880 0.887
Sm5 Sm 0.360 0.360 0.387
Sm6 Sm 0.459 0.919 0.294
Sm7 Sm 0.541 0.081 0.706
Sm8 Sm 0.640 0.640 0.613
Sm9 Sm 0.668 0.120 0.113
Sm10 Sm 0.880 0.332 0.887
Sm11 Sm 0.919 0.459 0.294
Sm12 Sm 0.948 0.948 0.791
Dy1 Dy 0.153 0.153 0.587
Dy2 Dy 0.256 0.256 0.014
Dy3 Dy 0.500 0.500 0.000
Dy4 Dy 0.744 0.744 0.986
Dy5 Dy 0.847 0.847 0.413
Tm1 Tm 0.241 0.759 0.500
Tm2 Tm 0.759 0.241 0.500
```

## Properties
DOS at the Fermi energy (states/eV per atom): 1.386
Formation energy from the elements (eV/atom): 0.134
Symmetry: C2/m, No. 12

SbP2CCl: optimized geometry, PBE-GGA.

Structure (CIF):
```
data_SbP2CCl
_symmetry_space_group_name_H-M 'P 1'
_symmetry_Int_Tables_number 1
_cell_length_a 4.263
_cell_length_b 4.263
_cell_length_c 4.413
_cell_angle_alpha 90.00
_cell_angle_beta 90.00
_cell_angle_gamma 90.00
loop_
_symmetry_equiv_pos_as_xyz
'x,y,z'
loop_
_atom_site_label
_atom_site_type_symbol
_atom_site_fract_x
_atom_site_fract_y
_atom_site_fract_z
Sb1 Sb 0.000 0.000 0.000
P1 P 0.000 0.500 0.500
P2 P 0.500 0.000 0.500
C1 C 0.500 0.500 0.500
Cl1 Cl 0.500 0.500 0.000
```

## Properties
DOS at the Fermi energy (states/eV per atom): 0.716
E_form (uncorrected) (eV/atom): 1.097
Symmetry: P4/mmm, No. 123

Zr6TcOs: optimized geometry, PBE-GGA.

Structure (CIF):
```
data_Zr6TcOs
_symmetry_space_group_name_H-M 'P 1'
_symmetry_Int_Tables_number 1
_cell_length_a 6.187
_cell_length_b 10.449
_cell_length_c 6.176
_cell_angle_alpha 90.00
_cell_angle_beta 116.74
_cell_angle_gamma 90.00
loop_
_symmetry_equiv_pos_as_xyz
'x,y,z'
loop_
_atom_site_label
_atom_site_type_symbol
_atom_site_fract_x
_atom_site_fract_y
_atom_site_fract_z
Zr1 Zr 0.250 0.000 0.250
Zr2 Zr 0.250 0.200 0.749
Zr3 Zr 0.250 0.300 0.251
Zr4 Zr 0.250 0.500 0.750
Zr5 Zr 0.250 0.700 0.251
Zr6 Zr 0.250 0.800 0.749
Zr7 Zr 0.750 0.000 0.750
Zr8 Zr 0.750 0.200 0.251
Zr9 Zr 0.750 0.300 0.749
Zr10 Zr 0.750 0.500 0.250
Zr11 Zr 0.750 0.700 0.749
Zr12 Zr 0.750 0.800 0.251
Tc1 Tc 0.000 0.000 0.500
Tc2 Tc 0.500 0.500 0.500
Os1 Os 0.000 0.500 0.000
Os2 Os 0.500 0.000 0.000
```

## Properties
DOS at the Fermi energy (states/eV per atom): 0.779
Formation energy from the elements (eV/atom): 0.105
Symmetry: C2/m, No. 12

ReNiPt6: optimized geometry, PBE-GGA.

Structure (CIF):
```
data_ReNiPt6
_symmetry_space_group_name_H-M 'P 1'
_symmetry_Int_Tables_number 1
_cell_length_a 3.933
_cell_length_b 3.933
_cell_length_c 7.780
_cell_angle_alpha 90.00
_cell_angle_beta 90.00
_cell_angle_gamma 90.00
loop_
_symmetry_equiv_pos_as_xyz
'x,y,z'
loop_
_atom_site_label
_atom_site_type_symbol
_atom_site_fract_x
_atom_site_fract_y
_atom_site_fract_z
Re1 Re 0.000 0.000 0.000
Ni1 Ni 0.000 0.000 0.500
Pt1 Pt 0.000 0.500 0.249
Pt2 Pt 0.000 0.500 0.751
Pt3 Pt 0.500 0.000 0.249
Pt4 Pt 0.500 0.000 0.751
Pt5 Pt 0.500 0.500 0.000
Pt6 Pt 0.500 0.500 0.500
```

## Properties
DOS at the Fermi energy (states/eV per atom): 1.343
Formation energy from the elements (eV/atom): -0.064
Symmetry: P4/mmm, No. 123

PrMg2Cd6: optimized geometry, PBE-GGA.

Structure (CIF):
```
data_PrMg2Cd6
_symmetry_space_group_name_H-M 'P 1'
_symmetry_Int_Tables_number 1
_cell_length_a 9.163
_cell_length_b 9.163
_cell_length_c 9.163
_cell_angle_alpha 60.00
_cell_angle_beta 60.00
_cell_angle_gamma 60.00
loop_
_symmetry_equiv_pos_as_xyz
'x,y,z'
loop_
_atom_site_label
_atom_site_type_symbol
_atom_site_fract_x
_atom_site_fract_y
_atom_site_fract_z
Pr1 Pr 0.125 0.125 0.125
Pr2 Pr 0.875 0.875 0.875
Mg1 Mg 0.000 0.500 0.500
Mg2 Mg 0.500 0.000 0.500
Mg3 Mg 0.500 0.500 0.000
Mg4 Mg 0.500 0.500 0.500
Cd1 Cd 0.119 0.119 0.631
Cd2 Cd 0.119 0.631 0.119
Cd3 Cd 0.119 0.631 0.631
Cd4 Cd 0.369 0.369 0.881
Cd5 Cd 0.369 0.881 0.369
Cd6 Cd 0.369 0.881 0.881
Cd7 Cd 0.631 0.119 0.119
Cd8 Cd 0.631 0.119 0.631
Cd9 Cd 0.631 0.631 0.119
Cd10 Cd 0.881 0.369 0.369
Cd11 Cd 0.881 0.369 0.881
Cd12 Cd 0.881 0.881 0.369
```

## Properties
DOS at the Fermi energy (states/eV per atom): 0.735
Formation energy from the elements (eV/atom): 0.250
Symmetry: Fd-3m, No. 227